# CdBPt3, optimized geometry, DFT PBE-GGA
data_CdBPt3
_space_group_name_H-M_alt 'R -3 c'
_space_group_IT_number 167
_space_group_name_Hall '-R 3 2"c'
_cell_length_a 7.2750
_cell_length_b 7.2750
_cell_length_c 10.3124
_cell_angle_alpha 90.00
_cell_angle_beta 90.00
_cell_angle_gamma 120.00
loop_
_atom_site_label
_atom_site_fract_x
_atom_site_fract_y
_atom_site_fract_z
_atom_site_occupancy
Cd1 0.0000 0.0000 0.0000 1
B1 0.0000 0.0000 0.2500 1
Pt1 0.0000 0.2765 0.2500 1
# E_form: -0.011 eV per atom
# Energy above the lowest structure with this stoichiometry: 32.83 kJ/mol of atoms
# Crystal system: trigonal
# Total energy: -5.15 eV per atom